Entry from Alexandria via LeMat-Bulk: an optimized crystal structure of PH2F3 (GGA-PBE).

a = 5.9281 Å, b = 8.2394 Å, c = 6.2333 Å
α = 90.00°, β = 90.00°, γ = 90.00°
Space group Cmc2_1 (No. 36)
Inequivalent atoms, fractional coordinates:
P 0.0000 0.1902 0.0000 x4
H 0.2119 0.1184 0.9760 x8
F 0.0000 0.1365 0.2580 x4
F 0.0000 0.2404 0.7424 x4
F 0.0000 0.3755 0.0666 x4

**Size of the total moment**: 0.000 μB per formula unit
**D(E_F)**: 0.000 states/eV/atom
**Raw total energy**: -109.1 eV for the cell shown

***

Entry from Alexandria via LeMat-Bulk: an optimized crystal structure of PHF (GGA-PBE).

a = 2.3304 Å, b = 2.4333 Å, c = 7.7756 Å
α = 91.33°, β = 92.46°, γ = 90.52°
Space group P1 (No. 1)
Inequivalent atoms, fractional coordinates:
P 0.0000 0.0000 0.0000 x1
H 0.8827 0.3727 0.4997 x1
F 0.4891 0.5080 0.4996 x1

**Size of the total moment**: 0.000 μB per formula unit
**D(E_F)**: 0.243 states/eV/atom
**Raw total energy**: -12.9 eV for the cell shown

***

Entry from Alexandria via LeMat-Bulk: an optimized crystal structure of PHF2 (GGA-PBE).

a = 2.7469 Å, b = 2.7469 Å, c = 18.3786 Å
α = 90.00°, β = 90.00°, γ = 120.00°
Space group R-3m (No. 166, hexagonal axes)
Inequivalent atoms, fractional coordinates:
P 0.0000 0.0000 0.0000 x3
H 0.0000 0.0000 0.5000 x3
F 0.0000 0.0000 0.4375 x6

**Size of the total moment**: 0.000 μB per formula unit
**D(E_F)**: 0.206 states/eV/atom
**Raw total energy**: -47.8 eV for the cell shown

***

Entry from Alexandria via LeMat-Bulk: an optimized crystal structure of PH3F2 (GGA-PBE).

a = 5.0756 Å, b = 5.8413 Å, c = 6.7009 Å
α = 70.51°, β = 67.81°, γ = 64.37°
Space group P-1 (No. 2)
Inequivalent atoms, fractional coordinates:
P 0.2362 0.2501 0.2500 x2
H 0.0389 0.7499 0.7500 x2
H 0.2595 0.4812 0.2477 x2
H 0.4879 0.0194 0.2525 x2
F 0.1286 0.1865 0.5305 x2
F 0.3454 0.3133 0.9696 x2

**Size of the total moment**: 0.000 μB per formula unit
**D(E_F)**: 0.000 states/eV/atom
**Raw total energy**: -51.5 eV for the cell shown